1.
This record from the Alexandria database describes a relaxed structure of Na2NiBiO4. The functional is PBE with a Hubbard U.

```
16
Lattice="6.580 0.072 0.047 0.067 6.580 0.047 -3.251 -3.253 4.653" Properties=species:S:1:pos:R:3 pbc="T T T"
Na 3.290 0.036 0.024
Na 1.665 -1.591 2.350
Na -1.625 -1.626 2.327
Na 3.324 3.326 0.047
Ni 0.034 3.290 0.024
Ni 4.988 1.735 2.397
Bi 1.698 1.700 2.374
Bi 3.330 -3.181 4.700
O -1.722 1.641 4.543
O 3.386 0.239 2.531
O 0.011 3.160 2.216
O 5.119 1.758 0.205
O 1.851 1.695 4.670
O 3.401 3.246 2.451
O -0.004 0.153 2.297
O 1.546 1.704 0.077
```

Results
**Calculated volume**: 12.72 Å³/atom
**Raw total energy**: -0.17837 hartree per atom

=====

2.
This record from the Alexandria database describes a relaxed structure of NaNi2BiO6. The functional is PBE with a Hubbard U.

```
10
Lattice="-3.429 0.739 4.404 -5.612 -0.336 -0.303 -3.027 -4.127 2.347" Properties=species:S:1:pos:R:3 pbc="T T T"
Na -3.438 -1.061 1.837
Ni -0.102 -0.032 0.055
Ni -6.062 -1.870 3.239
Bi -9.667 -2.983 5.165
O -5.808 -0.519 1.774
O -4.410 -1.080 4.066
O -4.809 -3.039 2.189
O -7.254 -0.562 4.019
O -7.468 -2.823 2.313
O -6.083 -3.034 4.784
```

Results
**Calculated volume**: 11.49 Å³/atom
**Raw total energy**: -0.17898 hartree per atom